VASP calculation (GGA-PBEsol) on a relaxed structure of CrSnH3.

Output
total magnetization = 5.2 μB per formula unit
energy above the most stable polymorph in this dataset = 0.6401 eV/atom
raw total energy = -19.75 eV per cell
density = 4557 kg/m3

Unit cell a=3.985 b=3.985 c=3.985 alpha=90.00 beta=90.00 gamma=90.00
Each line ends with the local moment (μB).
Fractional positions:
Cr1 0.500 0.500 0.500  4.27
Sn1 0.000 0.000 0.000  0.02
H1 0.000 0.500 0.000  0.01
H2 0.000 0.000 0.500  0.01
H3 0.500 0.000 0.000  0.01